A relaxed LiPu2Si4Ir3 crystal. Source: Alexandria via LeMat-Bulk, functional PBE.

Output
M_tot: 10.29 Bohr magnetons per cell
Volume: 17.04 Å³ per atom
E_form (uncorrected): -0.7145 eV/atom

a b c (Å): 4.1803 4.1803 9.7491
angles (deg): 90.00 90.00 90.00
Last column: nearest neighbours and their distance in Å.
Positions (direct):
Li 0.0000 0.0000 0.0000  4 Si 2.44
Pu 0.0000 0.5000 0.7508  8 Si 3.18-3.22, 6 Ir 3.19-3.21, 2 Li 3.21
Pu 0.5000 0.0000 0.2492  8 Si 3.18-3.22, 6 Ir 3.19-3.21, 2 Li 3.21
Si 0.0000 0.0000 0.5000  4 Ir 2.43
Si 0.0000 0.5000 0.1297  3 Ir 2.37-2.44, 2 Li 2.44
Si 0.5000 0.0000 0.8703  3 Ir 2.37-2.44, 2 Li 2.44
Si 0.5000 0.5000 0.5000  4 Ir 2.43
Ir 0.0000 0.5000 0.3732  5 Si 2.37-2.43
Ir 0.5000 0.0000 0.6268  5 Si 2.37-2.43
Ir 0.5000 0.5000 0.0000  4 Si 2.44


A relaxed As2RuSeBr crystal. Source: Alexandria via LeMat-Bulk, functional PBE.

Output
M_tot: 0.00 Bohr magnetons per cell
Volume: 23.08 Å³ per atom
E_form (uncorrected): 0.4339 eV/atom

a b c (Å): 4.8322 4.8322 4.9425
angles (deg): 90.00 90.00 90.00
Last column: nearest neighbours and their distance in Å.
Positions (direct):
As 0.0000 0.5000 0.0000  2 Ru 2.42
As 0.5000 0.0000 0.0000  2 Ru 2.42
Ru 0.0000 0.0000 0.0000  4 As 2.42, 2 Se 2.47
Se 0.0000 0.0000 0.5000  2 Ru 2.47
Br 0.5000 0.5000 0.5000  4 Se 3.42, 8 As 3.46


A relaxed Ho4Hg2H crystal. Source: Alexandria via LeMat-Bulk, functional PBE.

Output
Total DFT energy (no corrections): -3.504 eV per atom
M_tot: 0.00 Bohr magnetons per cell
Volume: 24.09 Å³ per atom

a b c (Å): 4.6719 4.6719 15.4491
angles (deg): 90.00 90.00 90.00
Last column: nearest neighbours and their distance in Å.
Positions (direct):
Ho 0.0000 0.0000 0.1798  1 H 2.78, 1 Hg 2.91
Ho 0.0000 0.0000 0.8202  1 H 2.78, 1 Hg 2.91
Ho 0.0000 0.5000 0.0000  2 H 2.34
Ho 0.0000 0.5000 0.5000  2 H 2.34
Ho 0.5000 0.0000 0.0000  2 H 2.34
Ho 0.5000 0.0000 0.5000  2 H 2.34
Ho 0.5000 0.5000 0.3202  1 H 2.78, 1 Hg 2.91
Ho 0.5000 0.5000 0.6798  1 H 2.78, 1 Hg 2.91
Hg 0.0000 0.0000 0.3681  5 Ho 2.91-3.10
Hg 0.0000 0.0000 0.6319  5 Ho 2.91-3.10
Hg 0.5000 0.5000 0.1319  5 Ho 2.91-3.10
Hg 0.5000 0.5000 0.8681  5 Ho 2.91-3.10
H 0.0000 0.0000 0.0000  4 Ho 2.34
H 0.5000 0.5000 0.5000  4 Ho 2.34


- What is the volume in the second record?
  23.08 Å³ per atom